No. 1
GaN2ClF after structural relaxation. Source: Alexandria, functional PBE.

## Properties
Calculated total energy = -19.48 eV for the cell shown
Fermi-level density of states = 0.732 states/eV per atom
Size of the total moment = 3.31 μB per cell
Space-group type = P4/mmm, No. 123
ΔE to the lowest computed polymorph = 0.000 eV/atom
ΔE_f (raw) = 0.78 eV per atom

a b c (Å): 4.151 4.151 3.865
angles (deg): 90.00 90.00 90.00
Sites, in units of the cell vectors:
N: 0.000 0.500 0.000
Cl: 0.500 0.500 0.500
N: 0.500 0.000 0.000
F: 0.000 0.000 0.500
Ga: 0.000 0.000 0.000

---

No. 2
GaN2ClF after structural relaxation. Source: Alexandria, functional PBE.

## Properties
Calculated total energy = -16.31 eV for the cell shown
Fermi-level density of states = 0.537 states/eV per atom
Size of the total moment = 0.68 μB per cell
Space-group type = P4/mmm, No. 123
ΔE to the lowest computed polymorph = 0.634 eV/atom
ΔE_f (raw) = 1.42 eV per atom

a b c (Å): 3.633 3.633 5.737
angles (deg): 90.00 90.00 90.00
Sites, in units of the cell vectors:
Ga: 0.500 0.500 0.500
F: 0.000 0.000 0.500
Cl: 0.000 0.000 0.000
N: 0.500 0.000 0.000
N: 0.000 0.500 0.000

---

No. 3
GaN2ClF after structural relaxation. Source: Alexandria, functional PBE.

## Properties
Calculated total energy = -17.90 eV for the cell shown
Fermi-level density of states = 0.329 states/eV per atom
Size of the total moment = 5.00 μB per cell
Space-group type = P4/mmm, No. 123
ΔE to the lowest computed polymorph = 0.316 eV/atom
ΔE_f (raw) = 1.10 eV per atom

a b c (Å): 4.006 4.937 4.006
angles (deg): 90.00 90.00 90.00
Sites, in units of the cell vectors:
N: 0.000 0.000 0.500
Cl: 0.000 0.500 0.000
N: 0.500 0.000 0.000
Ga: 0.000 0.000 0.000
F: 0.500 0.500 0.500

---

No. 4
GaNClF2 after structural relaxation. Source: Alexandria, functional PBE.

## Properties
Calculated total energy = -19.47 eV for the cell shown
Fermi-level density of states = 0.087 states/eV per atom
Size of the total moment = 1.00 μB per cell
Space-group type = P4/mmm, No. 123
ΔE to the lowest computed polymorph = 0.000 eV/atom
ΔE_f (raw) = -0.51 eV per atom

a b c (Å): 3.779 3.779 4.453
angles (deg): 90.00 90.00 90.00
Sites, in units of the cell vectors:
N: 0.000 0.000 0.500
Ga: 0.000 0.000 0.000
Cl: 0.500 0.500 0.500
F: 0.000 0.500 0.000
F: 0.500 0.000 0.000

---

No. 5
GaNClF2 after structural relaxation. Source: Alexandria, functional PBE.

## Properties
Calculated total energy = -15.79 eV for the cell shown
Fermi-level density of states = 0.231 states/eV per atom
Size of the total moment = 0.00 μB per cell
Space-group type = P4/mmm, No. 123
ΔE to the lowest computed polymorph = 0.735 eV/atom
ΔE_f (raw) = 0.23 eV per atom

a b c (Å): 4.856 4.856 3.367
angles (deg): 90.00 90.00 90.00
Sites, in units of the cell vectors:
Cl: 0.000 0.000 0.000
F: 0.500 0.000 0.000
N: 0.000 0.000 0.500
F: 0.000 0.500 0.000
Ga: 0.500 0.500 0.500

---

No. 6
GaPCl2F after structural relaxation. Source: Alexandria, functional PBE.

## Properties
Calculated total energy = -14.09 eV for the cell shown
Fermi-level density of states = 0.563 states/eV per atom
Size of the total moment = 0.92 μB per cell
Space-group type = P4/mmm, No. 123
ΔE to the lowest computed polymorph = 0.174 eV/atom
ΔE_f (raw) = -0.02 eV per atom

a b c (Å): 4.682 4.682 5.057
angles (deg): 90.00 90.00 90.00
Sites, in units of the cell vectors:
Ga: 0.000 0.000 0.000
F: 0.500 0.500 0.500
Cl: 0.500 0.000 0.000
P: 0.000 0.000 0.500
Cl: 0.000 0.500 0.000

---

No. 7
GaP2ClF after structural relaxation. Source: Alexandria, functional PBE.

## Properties
Calculated total energy = -15.96 eV for the cell shown
Fermi-level density of states = 0.671 states/eV per atom
Size of the total moment = 0.87 μB per cell
Space-group type = P4/mmm, No. 123
ΔE to the lowest computed polymorph = 0.000 eV/atom
ΔE_f (raw) = 0.32 eV per atom

a b c (Å): 4.145 4.145 6.125
angles (deg): 90.00 90.00 90.00
Sites, in units of the cell vectors:
P: 0.500 0.000 0.000
Ga: 0.500 0.500 0.500
F: 0.000 0.000 0.000
P: 0.000 0.500 0.000
Cl: 0.000 0.000 0.500

---

No. 8
GaP2ClF after structural relaxation. Source: Alexandria, functional PBE.

## Properties
Calculated total energy = -15.18 eV for the cell shown
Fermi-level density of states = 0.980 states/eV per atom
Size of the total moment = 1.46 μB per cell
Space-group type = P4/mmm, No. 123
ΔE to the lowest computed polymorph = 0.156 eV/atom
ΔE_f (raw) = 0.48 eV per atom

a b c (Å): 4.768 4.768 4.772
angles (deg): 90.00 90.00 90.00
Sites, in units of the cell vectors:
P: 0.000 0.500 0.000
F: 0.500 0.500 0.500
Cl: 0.000 0.000 0.500
P: 0.500 0.000 0.000
Ga: 0.000 0.000 0.000

---

No. 9
GaPCl2F after structural relaxation. Source: Alexandria, functional PBE.

## Properties
Calculated total energy = -14.96 eV for the cell shown
Fermi-level density of states = 0.255 states/eV per atom
Size of the total moment = 0.00 μB per cell
Space-group type = P4/mmm, No. 123
ΔE to the lowest computed polymorph = 0.000 eV/atom
ΔE_f (raw) = -0.19 eV per atom

a b c (Å): 5.575 5.575 3.624
angles (deg): 90.00 90.00 90.00
Sites, in units of the cell vectors:
Cl: 0.500 0.000 0.000
Ga: 0.500 0.500 0.500
P: 0.000 0.000 0.500
F: 0.000 0.000 0.000
Cl: 0.000 0.500 0.000

---

No. 10
GaPbClF4 after structural relaxation. Source: Alexandria, functional PBE.

## Properties
Calculated total energy = -63.14 eV for the cell shown
Fermi-level density of states = 0.000 states/eV per atom
Size of the total moment = 0.00 μB per cell
Space-group type = C2/m, No. 12
ΔE_f (raw) = -2.21 eV per atom

a b c (Å): 7.119 7.119 7.313
angles (deg): 68.92 68.92 68.39
Sites, in units of the cell vectors:
F: 0.547 0.547 0.120
Cl: 0.009 0.009 0.750
F: 0.893 0.518 0.816
F: 0.333 0.333 0.482
F: 0.482 0.107 0.184
Pb: 0.199 0.199 0.853
Cl: 0.991 0.991 0.250
F: 0.667 0.667 0.518
Ga: 0.374 0.374 0.211
F: 0.453 0.453 0.880
F: 0.518 0.893 0.816
Ga: 0.626 0.626 0.789
F: 0.107 0.482 0.184
Pb: 0.801 0.801 0.147

---

No. 11
Rb2GaCl6F after structural relaxation. Source: Alexandria, functional PBE.

## Properties
Calculated total energy = -29.92 eV for the cell shown
Fermi-level density of states = 0.000 states/eV per atom
Size of the total moment = 0.00 μB per cell
Space-group type = I4/mmm, No. 139
ΔE_f (raw) = -1.20 eV per atom

a b c (Å): 7.760 7.760 7.126
angles (deg): 57.01 57.01 90.00
Sites, in units of the cell vectors:
Rb: 0.750 0.250 0.500
Cl: 0.212 0.788 0.000
Cl: 0.212 0.212 0.000
Rb: 0.250 0.750 0.500
Cl: 0.788 0.788 0.000
Cl: 0.720 0.720 0.559
Cl: 0.280 0.280 0.441
Ga: 0.000 0.000 0.000
F: 0.500 0.500 0.000
Cl: 0.788 0.212 0.000

---

No. 12
Rb2GaClF6 after structural relaxation. Source: Alexandria, functional PBE.

## Properties
Calculated total energy = -39.51 eV for the cell shown
Fermi-level density of states = 0.000 states/eV per atom
Size of the total moment = 2.00 μB per cell
Space-group type = I4/mmm, No. 139
ΔE_f (raw) = -2.15 eV per atom

a b c (Å): 6.107 6.107 6.505
angles (deg): 62.01 62.01 90.00
Sites, in units of the cell vectors:
Ga: 0.000 0.000 0.000
Cl: 0.500 0.500 0.000
Rb: 0.750 0.250 0.500
F: 0.225 0.225 0.000
F: 0.193 0.193 0.614
F: 0.775 0.225 0.000
F: 0.775 0.775 0.000
F: 0.807 0.807 0.386
F: 0.225 0.775 0.000
Rb: 0.250 0.750 0.500

---

Question: The highest calculated total energy belongs to which entry?
Answer: number 6